Entry 1:
## Ac3ZnRu (PBE)

Data for Ac3ZnRu after structural relaxation.

Values from the calculation:
- Formation energy from the elements: -0.131 eV per atom
- Excess energy over the best structure of this formula in the dataset: 18.0 meV/atom

```
data_Ac3ZnRu
_chemical_formula_sum 'Ac12 Zn4 Ru4'
_cell_length_a 14.673
_cell_length_b 4.420
_cell_length_c 11.627
_cell_angle_alpha 90.00
_cell_angle_beta 111.70
_cell_angle_gamma 90.00
_symmetry_space_group_name_H-M 'C 1 2/m 1'
_symmetry_Int_Tables_number 12
_symmetry_space_group_name_Hall '-C 2y'
loop_
_atom_site_label
_atom_site_type_symbol
_atom_site_fract_x
_atom_site_fract_y
_atom_site_fract_z
Ac1 Ac 0.025 0.000 0.339
Ac2 Ac 0.131 0.500 0.948
Ac3 Ac 0.197 0.500 0.641
Zn1 Zn 0.136 0.500 0.229
Ru1 Ru 0.180 0.000 0.801
```


Entry 2:
## PuB3H12 (PBE)

Data for PuB3H12 after structural relaxation.

Values from the calculation:
- Total DFT energy (no corrections): -4.834 eV/atom

```
data_PuB3H12
_chemical_formula_sum 'Pu2 B6 H24'
_cell_length_a 7.7133
_cell_length_b 7.7133
_cell_length_c 5.5929
_cell_angle_alpha 90.00
_cell_angle_beta 90.00
_cell_angle_gamma 120.00
_symmetry_space_group_name_H-M 'P 63/m'
_symmetry_Int_Tables_number 176
_symmetry_space_group_name_Hall '-P 6c'
loop_
_atom_site_label
_atom_site_type_symbol
_atom_site_fract_x
_atom_site_fract_y
_atom_site_fract_z
Pu1 Pu 0.3333 0.6667 0.2500
B1 B 0.0659 0.6399 0.7500
H1 H 0.0066 0.4594 0.7500
H2 H 0.0752 0.3263 0.2500
H3 H 0.1685 0.7210 0.5730
```


Entry 3:
## RbSrOs3 (PBE)

Data for RbSrOs3 after structural relaxation.

Values from the calculation:
- Formation energy from the elements: 3.327 eV per atom
- Excess energy over the best structure of this formula in the dataset: 54.6 meV/atom

```
data_RbSrOs3
_chemical_formula_sum 'Rb1 Sr1 Os3'
_cell_length_a 4.916
_cell_length_b 4.916
_cell_length_c 4.916
_cell_angle_alpha 90.00
_cell_angle_beta 90.00
_cell_angle_gamma 90.00
_symmetry_space_group_name_H-M 'P m -3 m'
_symmetry_Int_Tables_number 221
_symmetry_space_group_name_Hall '-P 4 2 3'
loop_
_atom_site_label
_atom_site_type_symbol
_atom_site_fract_x
_atom_site_fract_y
_atom_site_fract_z
Rb1 Rb 0.000 0.000 0.000
Sr1 Sr 0.500 0.500 0.500
Os1 Os 0.000 0.000 0.500
```


Entry 4:
## HoPuGa4 (PBE)

Data for HoPuGa4 after structural relaxation.

Values from the calculation:
- Formation energy from the elements: -0.488 eV per atom
- Excess energy over the best structure of this formula in the dataset: 0.0 meV/atom

```
data_HoPuGa4
_chemical_formula_sum 'Ho2 Pu2 Ga8'
_cell_length_a 4.427
_cell_length_b 7.234
_cell_length_c 7.678
_cell_angle_alpha 90.00
_cell_angle_beta 90.00
_cell_angle_gamma 90.00
_symmetry_space_group_name_H-M 'I m m m'
_symmetry_Int_Tables_number 71
_symmetry_space_group_name_Hall '-I 2 2'
loop_
_atom_site_label
_atom_site_type_symbol
_atom_site_fract_x
_atom_site_fract_y
_atom_site_fract_z
Ho1 Ho 0.000 0.000 0.000
Pu1 Pu 0.000 0.500 0.000
Ga1 Ga 0.000 0.253 0.333
```


Entry 5:
## NbCo2Ir (PBE)

Data for NbCo2Ir after structural relaxation.

Values from the calculation:
- Formation energy from the elements: -0.024 eV per atom
- Excess energy over the best structure of this formula in the dataset: 281.3 meV/atom

```
data_NbCo2Ir
_chemical_formula_sum 'Nb4 Co8 Ir4'
_cell_length_a 6.003
_cell_length_b 6.003
_cell_length_c 6.003
_cell_angle_alpha 90.00
_cell_angle_beta 90.00
_cell_angle_gamma 90.00
_symmetry_space_group_name_H-M 'F m -3 m'
_symmetry_Int_Tables_number 225
_symmetry_space_group_name_Hall '-F 4 2 3'
loop_
_atom_site_label
_atom_site_type_symbol
_atom_site_fract_x
_atom_site_fract_y
_atom_site_fract_z
Nb1 Nb 0.000 0.000 0.000
Co1 Co 0.250 0.250 0.250
Ir1 Ir 0.000 0.000 0.500
```


Entry 6:
## NaIn3Sn (PBE)

Data for NaIn3Sn after structural relaxation.

Values from the calculation:
- Formation energy from the elements: 0.306 eV per atom
- Excess energy over the best structure of this formula in the dataset: 377.0 meV/atom

```
data_NaIn3Sn
_chemical_formula_sum 'Na1 In3 Sn1'
_cell_length_a 5.762
_cell_length_b 5.762
_cell_length_c 5.762
_cell_angle_alpha 90.00
_cell_angle_beta 90.00
_cell_angle_gamma 90.00
_symmetry_space_group_name_H-M 'P m -3 m'
_symmetry_Int_Tables_number 221
_symmetry_space_group_name_Hall '-P 4 2 3'
loop_
_atom_site_label
_atom_site_type_symbol
_atom_site_fract_x
_atom_site_fract_y
_atom_site_fract_z
Na1 Na 0.000 0.000 0.000
In1 In 0.000 0.500 0.500
Sn1 Sn 0.500 0.500 0.500
```


Entry 7:
## LiTlAu2 (PBE)

Data for LiTlAu2 after structural relaxation.

Values from the calculation:
- Formation energy from the elements: -0.217 eV per atom

```
data_LiTlAu2
_chemical_formula_sum 'Li1 Tl1 Au2'
_cell_length_a 3.311
_cell_length_b 3.792
_cell_length_c 6.150
_cell_angle_alpha 90.00
_cell_angle_beta 90.00
_cell_angle_gamma 90.00
_symmetry_space_group_name_H-M 'P m m 2'
_symmetry_Int_Tables_number 25
_symmetry_space_group_name_Hall 'P 2 -2'
loop_
_atom_site_label
_atom_site_type_symbol
_atom_site_fract_x
_atom_site_fract_y
_atom_site_fract_z
Li1 Li 0.000 0.000 0.000
Tl1 Tl 0.500 0.500 0.290
Au1 Au 0.000 0.000 0.561
Au2 Au 0.500 0.500 0.807
```


Entry 8:
## Re3Mo (PBE)

Data for Re3Mo after structural relaxation.

Values from the calculation:
- Formation energy from the elements: 0.129 eV per atom
- Excess energy over the best structure of this formula in the dataset: 40.6 meV/atom

```
data_Re3Mo
_chemical_formula_sum 'Re9 Mo3'
_cell_length_a 2.7781
_cell_length_b 2.7781
_cell_length_c 27.4208
_cell_angle_alpha 90.00
_cell_angle_beta 90.00
_cell_angle_gamma 120.00
_symmetry_space_group_name_H-M 'R -3 m'
_symmetry_Int_Tables_number 166
_symmetry_space_group_name_Hall '-R 3 2"'
loop_
_atom_site_label
_atom_site_type_symbol
_atom_site_fract_x
_atom_site_fract_y
_atom_site_fract_z
Re1 Re 0.0000 0.0000 0.0000
Re2 Re 0.0000 0.0000 0.2515
Mo1 Mo 0.0000 0.0000 0.5000
```


Entry 9:
## Pr2TlPb3 (PBE)

Data for Pr2TlPb3 after structural relaxation.

Values from the calculation:
- Formation energy from the elements: -0.178 eV per atom
- Excess energy over the best structure of this formula in the dataset: 279.4 meV/atom

```
data_Pr2TlPb3
_chemical_formula_sum 'Pr4 Tl2 Pb6'
_cell_length_a 3.536
_cell_length_b 5.941
_cell_length_c 18.884
_cell_angle_alpha 90.00
_cell_angle_beta 90.00
_cell_angle_gamma 90.00
_symmetry_space_group_name_H-M 'I m m m'
_symmetry_Int_Tables_number 71
_symmetry_space_group_name_Hall '-I 2 2'
loop_
_atom_site_label
_atom_site_type_symbol
_atom_site_fract_x
_atom_site_fract_y
_atom_site_fract_z
Pr1 Pr 0.000 0.000 0.154
Tl1 Tl 0.000 0.000 0.500
Pb1 Pb 0.000 0.000 0.329
Pb2 Pb 0.000 0.500 0.500
```


Entry 10:
## MnHRh2W (PBE)

Data for MnHRh2W after structural relaxation.

Values from the calculation:
- Excess energy over the best structure of this formula in the dataset: 42.4 meV/atom

```
data_MnHRh2W
_chemical_formula_sum 'Mn1 H1 Rh2 W1'
_cell_length_a 3.851
_cell_length_b 3.851
_cell_length_c 3.993
_cell_angle_alpha 90.00
_cell_angle_beta 90.00
_cell_angle_gamma 90.00
_symmetry_space_group_name_H-M 'P 4/m m m'
_symmetry_Int_Tables_number 123
_symmetry_space_group_name_Hall '-P 4 2'
loop_
_atom_site_label
_atom_site_type_symbol
_atom_site_fract_x
_atom_site_fract_y
_atom_site_fract_z
Mn1 Mn 0.000 0.000 0.000
H1 H 0.500 0.500 0.500
Rh1 Rh 0.000 0.500 0.500
W1 W 0.500 0.500 0.000
```


Entry 11:
## LiAcAgO3 (PBE)

Data for LiAcAgO3 after structural relaxation.

Values from the calculation:
- Formation energy (no corrections): -158.68 kJ per mole of atoms

```
data_LiAcAgO3
_chemical_formula_sum 'Li4 Ac4 Ag4 O12'
_cell_length_a 5.578
_cell_length_b 10.827
_cell_length_c 5.632
_cell_angle_alpha 90.00
_cell_angle_beta 90.00
_cell_angle_gamma 90.00
_symmetry_space_group_name_H-M 'C m c m'
_symmetry_Int_Tables_number 63
_symmetry_space_group_name_Hall '-C 2c 2'
loop_
_atom_site_label
_atom_site_type_symbol
_atom_site_fract_x
_atom_site_fract_y
_atom_site_fract_z
Li1 Li 0.000 0.084 0.250
Ac1 Ac 0.000 0.183 0.750
Ag1 Ag 0.000 0.499 0.250
O1 O 0.000 0.254 0.250
O2 O 0.202 0.000 0.000
```


Number 1: volume 35.0 Å³/atom. Number 2: volume 9.0 Å³/atom. Number 3: volume 23.8 Å³/atom. Number 4: volume 20.5 Å³/atom. Number 5: volume 13.5 Å³/atom. Number 6: volume 38.3 Å³/atom. Number 7: volume 19.3 Å³/atom. Number 8: volume 15.3 Å³/atom. Number 9: volume 33.1 Å³/atom. Number 10: volume 11.8 Å³/atom. Number 11: volume 14.2 Å³/atom.